1.
This record from the Alexandria database describes an optimized crystal structure of KIn6Sb2. The functional is PBE-GGA.

Results
Energy relative to the elements, uncorrected   -0.070 eV per atom

Cell lengths 5.1136, 5.1136, 10.8522 Å; angles 90.00, 90.00, 90.00 degrees
Sites, in units of the cell vectors:
Sb  0.5000  0.5000  0.8603
In  0.0000  0.5000  0.6898
In  0.0000  0.5000  0.3102
K  0.0000  0.0000  0.0000
In  0.5000  0.0000  0.3102
In  0.5000  0.0000  0.6898
In  0.5000  0.5000  0.5000
Sb  0.5000  0.5000  0.1397
In  0.0000  0.0000  0.5000

2.
This record from the Alexandria database describes an optimized crystal structure of CdGaB. The functional is PBE-GGA.

Results
Calculated formation energy   0.56 eV per atom

Cell lengths 3.6973, 3.6973, 8.1401 Å; angles 90.00, 90.00, 120.00 degrees
Sites, in units of the cell vectors:
Cd  0.0000  0.0000  0.0000
Cd  0.0000  0.0000  0.5000
Ga  0.6667  0.3333  0.2500
Ga  0.3333  0.6667  0.7500
B  0.3333  0.6667  0.2500
B  0.6667  0.3333  0.7500

3.
This record from the Alexandria database describes an optimized crystal structure of Zr2BiPt. The functional is PBE-GGA.

Results
Calculated formation energy   -0.38 eV per atom

Cell lengths 7.7874, 7.7874, 6.3124 Å; angles 51.91, 51.91, 90.00 degrees
Sites, in units of the cell vectors:
Zr  0.8750  0.8400  0.7500
Pt  0.5000  0.5000  0.0000
Zr  0.3750  0.4100  0.7500
Zr  0.1600  0.6250  0.2500
Bi  0.0000  0.0000  0.0000
Bi  0.7500  0.2500  0.5000
Zr  0.5900  0.1250  0.2500
Pt  0.2500  0.7500  0.5000

4.
This record from the Alexandria database describes an optimized crystal structure of Cs3Sm3ScS8. The functional is PBE-GGA.

Results
Energy relative to the elements, uncorrected   -1.711 eV per atom

Cell lengths 8.1649, 8.1677, 9.4708 Å; angles 115.59, 90.00, 119.99 degrees
Sites, in units of the cell vectors:
Cs  0.0000  0.5000  0.0000
S  0.7843  0.0406  0.3251
Sm  0.5000  0.5000  0.5000
Sm  0.0000  0.5000  0.5000
S  0.7286  0.4571  0.6856
S  0.2157  0.9594  0.6749
Sm  0.5000  0.0000  0.5000
Cs  0.5000  0.5000  0.0000
Cs  0.0000  0.0000  0.0000
S  0.2563  0.0406  0.3251
S  0.7843  0.5686  0.3251
S  0.2714  0.5429  0.3144
S  0.7437  0.9594  0.6749
S  0.2157  0.4314  0.6749
Sc  0.0000  0.0000  0.5000

5.
This record from the Alexandria database describes an optimized crystal structure of TmGaTeO6. The functional is PBE-GGA.

Results
Energy relative to the elements, uncorrected   -2.042 eV per atom

Cell lengths 5.1457, 5.1457, 9.6873 Å; angles 90.00, 90.00, 120.00 degrees
Sites, in units of the cell vectors:
O  0.9915  0.3540  0.6379
Tm  0.0000  0.0000  0.0000
O  0.6460  0.0085  0.8621
O  0.6460  0.6375  0.6379
Te  0.3333  0.6667  0.2500
Ga  0.3333  0.6667  0.7500
O  0.9915  0.6375  0.8621
O  0.6375  0.9915  0.3621
Tm  0.0000  0.0000  0.5000
O  0.6375  0.6460  0.1379
Ga  0.6667  0.3333  0.2500
O  0.3540  0.3625  0.3621
O  0.0085  0.3625  0.1379
Te  0.6667  0.3333  0.7500
O  0.3625  0.3540  0.8621
O  0.3625  0.0085  0.6379
O  0.3540  0.9915  0.1379
O  0.0085  0.6460  0.3621

6.
This record from the Alexandria database describes an optimized crystal structure of LaTl2P. The functional is PBE-GGA.

Results
Polymorph energy (0 for the lowest one)   0.342 eV per formula unit
Calculated formation energy   -0.45 eV per atom

Cell lengths 5.4489, 5.4489, 5.8942 Å; angles 70.19, 70.19, 44.93 degrees
Sites, in units of the cell vectors:
Tl  0.9653  0.9653  0.9749
P  0.2497  0.2497  0.4093
Tl  0.7380  0.7380  0.7472
La  0.5470  0.5470  0.3686